## TmScV4 (PBE)

Data for crystalline TmScV4 at its relaxed geometry.

Unit cell a=5.329 b=5.329 c=5.329 alpha=60.00 beta=60.00 gamma=60.00
Each line ends with the local moment (μB).
Sites, in units of the cell vectors:
V 0.625 0.625 0.126  0.70
V 0.625 0.126 0.625  0.70
V 0.126 0.625 0.625  0.70
V 0.625 0.625 0.625  0.70
Sc 0.250 0.250 0.250  0.36
Tm 0.000 0.000 0.000  0.53

Values from the calculation:
* energy relative to the elements: 0.278 eV/atom

## TmScVZn (PBE)

Data for crystalline TmScVZn at its relaxed geometry.

Unit cell a=4.871 b=4.871 c=4.871 alpha=60.00 beta=60.00 gamma=60.00
Each line ends with the local moment (μB).
Sites, in units of the cell vectors:
Zn 0.750 0.750 0.750  -0.04
Sc 0.000 0.000 0.000  0.16
Tm 0.500 0.500 0.500  0.24
V 0.250 0.250 0.250  2.36

Values from the calculation:
* energy relative to the elements: 0.011 eV/atom

## YTm2Sc (PBE)

Data for crystalline YTm2Sc at its relaxed geometry.

Unit cell a=3.479 b=6.031 c=11.314 alpha=84.95 beta=98.87 gamma=90.03
Sites, in units of the cell vectors:
Tm 0.412 0.650 0.310
Tm 0.673 0.229 0.832
Tm 0.912 0.150 0.310
Tm 0.173 0.729 0.832
Y 0.543 0.939 0.573
Y 0.043 0.439 0.573
Sc 0.292 0.357 0.069
Sc 0.792 0.857 0.069

Values from the calculation:
* energy relative to the elements: 0.029 eV/atom
* energy relative to the lowest polymorph listed for this composition: 0.000 eV per formula unit

## Y2Tm5Sc4 (PBE)

Data for crystalline Y2Tm5Sc4 at its relaxed geometry.

Unit cell a=6.479 b=6.749 c=8.889 alpha=78.96 beta=68.63 gamma=61.32
Sites, in units of the cell vectors:
Sc 0.734 0.651 0.881
Sc 0.724 0.019 0.534
Sc 0.266 0.349 0.119
Sc 0.276 0.981 0.466
Tm 0.219 0.858 0.173
Tm 0.781 0.142 0.827
Tm 0.000 0.500 0.500
Tm 0.250 0.142 0.827
Tm 0.750 0.858 0.173
Y 0.670 0.395 0.266
Y 0.330 0.605 0.734

Values from the calculation:
* energy relative to the elements: 0.191 eV/atom
* energy relative to the lowest polymorph listed for this composition: 0.780 eV per formula unit